(1)
This record from Alexandria via LeMat-Bulk describes a geometry-optimized NbPb2C structure. The functional is GGA-PBE.

Lattice parameters (Å, degrees): 5.9794 5.9794 5.9794 106.12 106.12 116.41
Positions (direct):
Nb  0.0000  0.0000  0.0000
Nb  0.7500  0.2500  0.5000
Pb  0.1905  0.1250  0.5655
Pb  0.3750  0.8095  0.9345
Pb  0.5595  0.6250  0.4345
Pb  0.8750  0.4405  0.0655
C  0.2500  0.7500  0.5000
C  0.5000  0.5000  0.0000

Calculated values
DFT formation energy: 1.40 eV per atom
Space group: I-42d (122)

=====

(2)
This record from Alexandria via LeMat-Bulk describes a geometry-optimized LaSeCl2 structure. The functional is GGA-PBE.

Lattice parameters (Å, degrees): 5.5565 5.5565 5.5565 131.23 131.23 71.45
Positions (direct):
La  0.0000  0.0000  0.0000
Se  0.5000  0.5000  0.0000
Cl  0.2500  0.7500  0.5000
Cl  0.7500  0.2500  0.5000

Calculated values
E_form (uncorrected): -1.52 eV per atom
Space group: I4/mmm (139)

=====

(3)
This record from Alexandria via LeMat-Bulk describes a geometry-optimized KSi2Au2 structure. The functional is GGA-PBE.

Lattice parameters (Å, degrees): 6.2230 6.2230 6.2230 136.86 136.86 62.66
Positions (direct):
K  0.0000  0.0000  0.0000
Si  0.2500  0.7500  0.5000
Si  0.7500  0.2500  0.5000
Au  0.3529  0.3529  0.0000
Au  0.6471  0.6471  0.0000

Calculated values
E_form (uncorrected): -0.07 eV per atom
Space group: I4/mmm (139)

=====

(4)
This record from Alexandria via LeMat-Bulk describes a geometry-optimized ZrTlAu2 structure. The functional is GGA-PBE.

Lattice parameters (Å, degrees): 5.0477 5.0477 5.2898 103.15 103.15 40.85
Positions (direct):
Zr  0.0000  0.0000  0.0000
Tl  0.2357  0.2357  0.6816
Au  0.4837  0.4837  0.4398
Au  0.7387  0.7387  0.1834

Calculated values
DFT formation energy: -0.16 eV per atom
Space group: Cm (8)

=====

(5)
This record from Alexandria via LeMat-Bulk describes a geometry-optimized Ti3GePd6 structure. The functional is GGA-PBE.

Lattice parameters (Å, degrees): 8.5353 8.5353 4.6045 90.00 90.00 105.75
Positions (direct):
Ti  0.1210  0.8790  0.5000
Ti  0.1672  0.3776  0.0375
Ti  0.3776  0.1672  0.5375
Ti  0.6224  0.8328  0.0375
Ti  0.8328  0.6224  0.5375
Ti  0.8790  0.1210  0.0000
Ge  0.3709  0.6291  0.3260
Ge  0.6291  0.3709  0.8260
Pd  0.0794  0.1939  0.5212
Pd  0.0974  0.5254  0.5487
Pd  0.1939  0.0794  0.0212
Pd  0.2345  0.7655  0.9759
Pd  0.4414  0.5586  0.8046
Pd  0.4746  0.9026  0.5487
Pd  0.5254  0.0974  0.0487
Pd  0.5586  0.4414  0.3046
Pd  0.7655  0.2345  0.4759
Pd  0.8061  0.9206  0.5212
Pd  0.9026  0.4746  0.0487
Pd  0.9206  0.8061  0.0212

Calculated values
DFT formation energy: -0.46 eV per atom
Space group: Cmc2_1 (36)

=====

(6)
This record from Alexandria via LeMat-Bulk describes a geometry-optimized HAuSeN structure. The functional is GGA-PBE.

Lattice parameters (Å, degrees): 3.3243 4.0340 5.4514 102.42 106.97 91.05
Positions (direct):
H  0.0000  0.0000  0.0000
Au  0.2514  0.3640  0.5450
Se  0.0358  0.6790  0.1027
N  0.2118  0.8425  0.4614

Calculated values
Space group: P1 (1)
Energy: -15.61 eV per cell